Computed, not measured: a geometry-optimized CeZr4S8 structure at the PBE level of DFT.

Lattice parameters (Å, degrees): 7.2981 7.2981 7.7991 62.10 62.10 60.00
Sites, in units of the cell vectors:
Ce  0.5000  0.5000  0.5000
Zr  0.0000  0.5000  0.0000
Zr  0.5000  0.5000  0.0000
Zr  0.5000  0.0000  0.0000
Zr  0.0000  0.0000  0.0000
S  0.7512  0.2425  0.7637
S  0.7575  0.2488  0.2363
S  0.2488  0.7575  0.2363
S  0.7575  0.7575  0.2363
S  0.7415  0.7415  0.7756
S  0.2585  0.2585  0.2244
S  0.2425  0.2425  0.7637
S  0.2425  0.7512  0.7637

As for the density of states at the Fermi level: 8.16 states/eV per cell. As for the energy relative to the elements, uncorrected: -1694.2 meV/atom. The volume is 23.29 Å³/atom.

Computed, not measured: a geometry-optimized Ce2Zr2S7 structure at the PBE level of DFT.

Lattice parameters (Å, degrees): 6.3656 6.4871 6.3656 90.00 97.02 90.00
Sites, in units of the cell vectors:
Ce  0.7517  0.5000  0.7517
Ce  0.2483  0.5000  0.2483
Zr  0.7279  0.0000  0.2721
Zr  0.2721  0.0000  0.7279
S  0.0000  0.2526  0.5000
S  0.5000  0.7474  0.0000
S  0.0000  0.7474  0.5000
S  0.5000  0.2526  0.0000
S  0.0000  0.0000  0.0000
S  0.5000  0.7692  0.5000
S  0.5000  0.2308  0.5000

As for the density of states at the Fermi level: 12.93 states/eV per cell. As for the energy relative to the elements, uncorrected: -1513.7 meV/atom. The volume is 23.72 Å³/atom.

Computed, not measured: a geometry-optimized CeZr3S6 structure at the PBE level of DFT.

Lattice parameters (Å, degrees): 3.7118 10.7156 10.8837 108.37 90.00 90.00
Sites, in units of the cell vectors:
Ce  0.7500  0.0476  0.7028
Ce  0.2500  0.9524  0.2972
Zr  0.7500  0.4377  0.8445
Zr  0.2500  0.5623  0.1555
Zr  0.7500  0.6832  0.5036
Zr  0.2500  0.3168  0.4964
Zr  0.7500  0.1380  0.0757
Zr  0.2500  0.8620  0.9243
S  0.7500  0.4845  0.6174
S  0.2500  0.5155  0.3826
S  0.7500  0.9055  0.0960
S  0.2500  0.0945  0.9040
S  0.7500  0.3859  0.0648
S  0.2500  0.6141  0.9352
S  0.7500  0.7291  0.2705
S  0.2500  0.2709  0.7295
S  0.7500  0.1299  0.4684
S  0.2500  0.8701  0.5316
S  0.7500  0.7973  0.7501
S  0.2500  0.2027  0.2499

As for the density of states at the Fermi level: 17.19 states/eV per cell. As for the energy relative to the elements, uncorrected: -1661.6 meV/atom. The volume is 20.54 Å³/atom.